# PBE Ca2YP, optimized geometry
data_Ca2YP
_space_group_name_H-M_alt 'A m m 2'
_space_group_IT_number 38
_space_group_name_Hall 'A 2 -2'
_cell_length_a 3.898
_cell_length_b 4.518
_cell_length_c 14.186
_cell_angle_alpha 90.00
_cell_angle_beta 90.00
_cell_angle_gamma 90.00
loop_
_atom_site_label
_atom_site_type_symbol
_atom_site_fract_x
_atom_site_fract_y
_atom_site_fract_z
_atom_site_occupancy
Ca1 Ca 0.000 0.000 0.000 1
Ca2 Ca 0.500 0.000 0.339 1
Y1 Y 0.500 0.000 0.654 1
P1 P 0.000 0.000 0.793 1
# * energy of formation: -12.60 kcal/mol of atoms
# * DOS at the Fermi energy: 5.024 states/eV/cell
# * electronic total energy: -4.516 eV per atom



# PBE La2Pr2YHg5, optimized geometry
data_La2Pr2YHg5
_space_group_name_H-M_alt 'P 4/m b m'
_space_group_IT_number 127
_space_group_name_Hall '-P 4 2ab'
_cell_length_a 11.255
_cell_length_b 11.255
_cell_length_c 4.603
_cell_angle_alpha 90.00
_cell_angle_beta 90.00
_cell_angle_gamma 90.00
loop_
_atom_site_label
_atom_site_type_symbol
_atom_site_fract_x
_atom_site_fract_y
_atom_site_fract_z
_atom_site_occupancy
La1 La 0.175 0.325 0.000 1
Pr1 Pr 0.130 0.630 0.000 1
Y1 Y 0.000 0.000 0.000 1
Hg1 Hg 0.000 0.500 0.500 1
Hg2 Hg 0.088 0.823 0.500 1
# * energy of formation: -7.62 kcal/mol of atoms
# * DOS at the Fermi energy: 16.324 states/eV/cell
# * electronic total energy: -3.069 eV per atom



# PBE SmY5Mg6, optimized geometry
data_SmY5Mg6
_space_group_name_H-M_alt 'C m m m'
_space_group_IT_number 65
_space_group_name_Hall '-C 2 2'
_cell_length_a 5.396
_cell_length_b 16.193
_cell_length_c 7.595
_cell_angle_alpha 90.00
_cell_angle_beta 90.00
_cell_angle_gamma 90.00
loop_
_atom_site_label
_atom_site_type_symbol
_atom_site_fract_x
_atom_site_fract_y
_atom_site_fract_z
_atom_site_occupancy
Sm1 Sm 0.000 0.000 0.000 1
Y1 Y 0.000 0.000 0.500 1
Y2 Y 0.000 0.333 0.000 1
Y3 Y 0.000 0.334 0.500 1
Mg1 Mg 0.000 0.168 0.251 1
Mg2 Mg 0.000 0.500 0.251 1
# * energy of formation: -2.48 kcal/mol of atoms
# * DOS at the Fermi energy: 33.929 states/eV/cell
# * electronic total energy: -3.992 eV per atom



# PBE Sr3PdI, optimized geometry
data_Sr3PdI
_space_group_name_H-M_alt 'P 1 21/m 1'
_space_group_IT_number 11
_space_group_name_Hall '-P 2yb'
_cell_length_a 9.661
_cell_length_b 4.434
_cell_length_c 9.779
_cell_angle_alpha 90.00
_cell_angle_beta 112.52
_cell_angle_gamma 90.00
loop_
_atom_site_label
_atom_site_type_symbol
_atom_site_fract_x
_atom_site_fract_y
_atom_site_fract_z
_atom_site_occupancy
Sr1 Sr 0.062 0.250 0.262 1
Sr2 Sr 0.296 0.750 0.619 1
Sr3 Sr 0.297 0.250 0.962 1
Pd1 Pd 0.069 0.250 0.601 1
I1 I 0.381 0.750 0.297 1
# * DOS at the Fermi energy: 6.179 states/eV/cell
# * electronic total energy: -3.091 eV per atom



# PBE Dy2MgPa, optimized geometry
data_Dy2MgPa
_space_group_name_H-M_alt 'P 4/m m m'
_space_group_IT_number 123
_space_group_name_Hall '-P 4 2'
_cell_length_a 5.619
_cell_length_b 5.619
_cell_length_c 3.452
_cell_angle_alpha 90.00
_cell_angle_beta 90.00
_cell_angle_gamma 90.00
loop_
_atom_site_label
_atom_site_type_symbol
_atom_site_fract_x
_atom_site_fract_y
_atom_site_fract_z
_atom_site_occupancy
Dy1 Dy 0.000 0.500 0.000 1
Mg1 Mg 0.000 0.000 0.500 1
Pa1 Pa 0.500 0.500 0.500 1
# * energy of formation: 4.28 kcal/mol of atoms
# * DOS at the Fermi energy: 7.177 states/eV/cell
# * electronic total energy: -4.888 eV per atom



# PBE HoBrCl, optimized geometry
data_HoBrCl
_space_group_name_H-M_alt 'I 4 m m'
_space_group_IT_number 107
_space_group_name_Hall 'I 4 -2'
_cell_length_a 3.441
_cell_length_b 3.441
_cell_length_c 14.325
_cell_angle_alpha 90.00
_cell_angle_beta 90.00
_cell_angle_gamma 90.00
loop_
_atom_site_label
_atom_site_type_symbol
_atom_site_fract_x
_atom_site_fract_y
_atom_site_fract_z
_atom_site_occupancy
Ho1 Ho 0.000 0.000 0.000 1
Br1 Br 0.000 0.000 0.380 1
Cl1 Cl 0.000 0.000 0.607 1
# * DOS at the Fermi energy: 3.609 states/eV/cell
# * electronic total energy: -4.374 eV per atom



# PBE GeH2S2, optimized geometry
data_GeH2S2
_space_group_name_H-M_alt 'P 4/m b m'
_space_group_IT_number 127
_space_group_name_Hall '-P 4 2ab'
_cell_length_a 7.221
_cell_length_b 7.221
_cell_length_c 2.981
_cell_angle_alpha 90.00
_cell_angle_beta 90.00
_cell_angle_gamma 90.00
loop_
_atom_site_label
_atom_site_type_symbol
_atom_site_fract_x
_atom_site_fract_y
_atom_site_fract_z
_atom_site_occupancy
Ge1 Ge 0.000 0.000 0.000 1
H1 H 0.140 0.360 0.500 1
S1 S 0.198 0.302 0.000 1
# * DOS at the Fermi energy: 3.178 states/eV/cell
# * electronic total energy: -3.770 eV per atom



# PBE Cd12AgHg3, optimized geometry
data_Cd12AgHg3
_space_group_name_H-M_alt 'P 4/m m m'
_space_group_IT_number 123
_space_group_name_Hall '-P 4 2'
_cell_length_a 4.439
_cell_length_b 4.439
_cell_length_c 18.286
_cell_angle_alpha 90.00
_cell_angle_beta 90.00
_cell_angle_gamma 90.00
loop_
_atom_site_label
_atom_site_type_symbol
_atom_site_fract_x
_atom_site_fract_y
_atom_site_fract_z
_atom_site_occupancy
Cd1 Cd 0.000 0.000 0.000 1
Cd2 Cd 0.000 0.000 0.245 1
Cd3 Cd 0.000 0.000 0.500 1
Cd4 Cd 0.000 0.500 0.117 1
Cd5 Cd 0.000 0.500 0.372 1
Ag1 Ag 0.500 0.500 0.000 1
Hg1 Hg 0.500 0.500 0.244 1
Hg2 Hg 0.500 0.500 0.500 1
# * energy of formation: 0.31 kcal/mol of atoms
# * DOS at the Fermi energy: 4.283 states/eV/cell
# * electronic total energy: -0.908 eV per atom



# PBE Y3Co4, optimized geometry
data_Y3Co4
_space_group_name_H-M_alt 'I m m m'
_space_group_IT_number 71
_space_group_name_Hall '-I 2 2'
_cell_length_a 3.882
_cell_length_b 4.109
_cell_length_c 16.718
_cell_angle_alpha 90.00
_cell_angle_beta 90.00
_cell_angle_gamma 90.00
loop_
_atom_site_label
_atom_site_type_symbol
_atom_site_fract_x
_atom_site_fract_y
_atom_site_fract_z
_atom_site_occupancy
Y1 Y 0.000 0.000 0.000 1
Y2 Y 0.000 0.500 0.314 1
Co1 Co 0.000 0.000 0.432 1
Co2 Co 0.000 0.500 0.133 1
# * energy of formation: -4.53 kcal/mol of atoms
# * DOS at the Fermi energy: 11.766 states/eV/cell
# * electronic total energy: -7.027 eV per atom



# PBE RbAc2Ir, optimized geometry
data_RbAc2Ir
_space_group_name_H-M_alt 'P 4/m m m'
_space_group_IT_number 123
_space_group_name_Hall '-P 4 2'
_cell_length_a 3.828
_cell_length_b 3.828
_cell_length_c 11.521
_cell_angle_alpha 90.00
_cell_angle_beta 90.00
_cell_angle_gamma 90.00
loop_
_atom_site_label
_atom_site_type_symbol
_atom_site_fract_x
_atom_site_fract_y
_atom_site_fract_z
_atom_site_occupancy
Rb1 Rb 0.000 0.000 0.000 1
Ac1 Ac 0.500 0.500 0.352 1
Ir1 Ir 0.000 0.000 0.500 1
# * energy of formation: -3.97 kcal/mol of atoms
# * DOS at the Fermi energy: 2.413 states/eV/cell
# * electronic total energy: -4.684 eV per atom



# PBE La2ZrCo, optimized geometry
data_La2ZrCo
_space_group_name_H-M_alt 'P 4/m m m'
_space_group_IT_number 123
_space_group_name_Hall '-P 4 2'
_cell_length_a 5.359
_cell_length_b 5.359
_cell_length_c 3.506
_cell_angle_alpha 90.00
_cell_angle_beta 90.00
_cell_angle_gamma 90.00
loop_
_atom_site_label
_atom_site_type_symbol
_atom_site_fract_x
_atom_site_fract_y
_atom_site_fract_z
_atom_site_occupancy
La1 La 0.000 0.500 0.000 1
Zr1 Zr 0.000 0.000 0.500 1
Co1 Co 0.500 0.500 0.500 1
# * energy of formation: 6.94 kcal/mol of atoms
# * DOS at the Fermi energy: 5.058 states/eV/cell
# * electronic total energy: -6.076 eV per atom



# PBE Mn2CdPt, optimized geometry
data_Mn2CdPt
_space_group_name_H-M_alt 'I -4 m 2'
_space_group_IT_number 119
_space_group_name_Hall 'I -4 -2'
_cell_length_a 4.010
_cell_length_b 4.010
_cell_length_c 8.068
_cell_angle_alpha 90.00
_cell_angle_beta 90.00
_cell_angle_gamma 90.00
loop_
_atom_site_label
_atom_site_type_symbol
_atom_site_fract_x
_atom_site_fract_y
_atom_site_fract_z
_atom_site_occupancy
Mn1 Mn 0.000 0.000 0.000 1
Mn2 Mn 0.000 0.500 0.250 1
Cd1 Cd 0.000 0.000 0.500 1
Pt1 Pt 0.000 0.500 0.750 1
# * energy of formation: -0.44 kcal/mol of atoms
# * DOS at the Fermi energy: 4.976 states/eV/cell
# * electronic total energy: -6.343 eV per atom



# PBE Ba2TcF8, optimized geometry
data_Ba2TcF8
_space_group_name_H-M_alt 'C 1 2/m 1'
_space_group_IT_number 12
_space_group_name_Hall '-C 2y'
_cell_length_a 10.826
_cell_length_b 8.125
_cell_length_c 5.011
_cell_angle_alpha 90.00
_cell_angle_beta 109.50
_cell_angle_gamma 90.00
loop_
_atom_site_label
_atom_site_type_symbol
_atom_site_fract_x
_atom_site_fract_y
_atom_site_fract_z
_atom_site_occupancy
Ba1 Ba 0.164 0.000 0.359 1
Tc1 Tc 0.000 0.500 0.000 1
F1 F 0.089 0.000 0.806 1
F2 F 0.114 0.500 0.770 1
F3 F 0.118 0.331 0.243 1
# * DOS at the Fermi energy: 0.000 states/eV/cell
# * electronic total energy: -5.776 eV per atom



# PBE PmCu5Au7, optimized geometry
data_PmCu5Au7
_space_group_name_H-M_alt 'I m m 2'
_space_group_IT_number 44
_space_group_name_Hall 'I 2 -2'
_cell_length_a 5.257
_cell_length_b 9.115
_cell_length_c 9.154
_cell_angle_alpha 90.00
_cell_angle_beta 90.00
_cell_angle_gamma 90.00
loop_
_atom_site_label
_atom_site_type_symbol
_atom_site_fract_x
_atom_site_fract_y
_atom_site_fract_z
_atom_site_occupancy
Pm1 Pm 0.000 0.000 0.000 1
Cu1 Cu 0.000 0.500 0.736 1
Cu2 Cu 0.249 0.255 0.755 1
Au1 Au 0.000 0.000 0.336 1
Au2 Au 0.000 0.000 0.658 1
Au3 Au 0.000 0.296 0.510 1
Au4 Au 0.000 0.341 0.000 1
Au5 Au 0.000 0.500 0.278 1
# * energy of formation: -5.59 kcal/mol of atoms
# * DOS at the Fermi energy: 9.881 states/eV/cell
# * electronic total energy: -3.948 eV per atom



# PBE Fe2Ni2Ag, optimized geometry
data_Fe2Ni2Ag
_space_group_name_H-M_alt 'P 4/m b m'
_space_group_IT_number 127
_space_group_name_Hall '-P 4 2ab'
_cell_length_a 7.096
_cell_length_b 7.096
_cell_length_c 2.582
_cell_angle_alpha 90.00
_cell_angle_beta 90.00
_cell_angle_gamma 90.00
loop_
_atom_site_label
_atom_site_type_symbol
_atom_site_fract_x
_atom_site_fract_y
_atom_site_fract_z
_atom_site_occupancy
Fe1 Fe 0.122 0.378 0.000 1
Ni1 Ni 0.171 0.671 0.500 1
Ag1 Ag 0.000 0.000 0.000 1
# * energy of formation: 4.40 kcal/mol of atoms
# * DOS at the Fermi energy: 8.716 states/eV/cell
# * electronic total energy: -6.077 eV per atom



# PBE CaDy3Th2As6, optimized geometry
data_CaDy3Th2As6
_space_group_name_H-M_alt 'C 1 2/m 1'
_space_group_IT_number 12
_space_group_name_Hall '-C 2y'
_cell_length_a 18.231
_cell_length_b 4.197
_cell_length_c 8.381
_cell_angle_alpha 90.00
_cell_angle_beta 103.31
_cell_angle_gamma 90.00
loop_
_atom_site_label
_atom_site_type_symbol
_atom_site_fract_x
_atom_site_fract_y
_atom_site_fract_z
_atom_site_occupancy
Ca1 Ca 0.000 0.000 0.000 1
Dy1 Dy 0.000 0.000 0.500 1
Dy2 Dy 0.165 0.500 0.834 1
Th1 Th 0.164 0.500 0.328 1
As1 As 0.001 0.500 0.744 1
As2 As 0.166 0.000 0.586 1
As3 As 0.169 0.000 0.080 1
# * energy of formation: -33.55 kcal/mol of atoms
# * DOS at the Fermi energy: 3.132 states/eV/cell
# * electronic total energy: -6.333 eV per atom



# PBE CsMnSbSe4, optimized geometry
data_CsMnSbSe4
_space_group_name_H-M_alt 'P 1 21/m 1'
_space_group_IT_number 11
_space_group_name_Hall '-P 2yb'
_cell_length_a 7.177
_cell_length_b 7.149
_cell_length_c 9.800
_cell_angle_alpha 90.00
_cell_angle_beta 108.88
_cell_angle_gamma 90.00
loop_
_atom_site_label
_atom_site_type_symbol
_atom_site_fract_x
_atom_site_fract_y
_atom_site_fract_z
_atom_site_occupancy
Cs1 Cs 0.225 0.250 0.438 1
Mn1 Mn 0.268 0.750 0.173 1
Sb1 Sb 0.282 0.250 0.005 1
Se1 Se 0.050 0.750 0.296 1
Se2 Se 0.055 0.750 0.937 1
Se3 Se 0.492 0.501 0.205 1
# * DOS at the Fermi energy: 5.903 states/eV/cell
# * electronic total energy: -4.481 eV per atom



# PBE RbNaP2Cl, optimized geometry
data_RbNaP2Cl
_space_group_name_H-M_alt 'P 4/m m m'
_space_group_IT_number 123
_space_group_name_Hall '-P 4 2'
_cell_length_a 6.434
_cell_length_b 6.434
_cell_length_c 6.062
_cell_angle_alpha 90.00
_cell_angle_beta 90.00
_cell_angle_gamma 90.00
loop_
_atom_site_label
_atom_site_type_symbol
_atom_site_fract_x
_atom_site_fract_y
_atom_site_fract_z
_atom_site_occupancy
Rb1 Rb 0.000 0.000 0.000 1
Na1 Na 0.500 0.500 0.500 1
P1 P 0.000 0.500 0.000 1
Cl1 Cl 0.000 0.000 0.500 1
# * DOS at the Fermi energy: 2.565 states/eV/cell
# * electronic total energy: -2.360 eV per atom



# PBE LiYZrGa, optimized geometry
data_LiYZrGa
_space_group_name_H-M_alt 'F -4 3 m'
_space_group_IT_number 216
_space_group_name_Hall 'F -4 2 3'
_cell_length_a 6.940
_cell_length_b 6.940
_cell_length_c 6.940
_cell_angle_alpha 90.00
_cell_angle_beta 90.00
_cell_angle_gamma 90.00
loop_
_atom_site_label
_atom_site_type_symbol
_atom_site_fract_x
_atom_site_fract_y
_atom_site_fract_z
_atom_site_occupancy
Li1 Li 0.000 0.000 0.000 1
Y1 Y 0.250 0.250 0.250 1
Zr1 Zr 0.250 0.250 0.750 1
Ga1 Ga 0.000 0.000 0.500 1
# * energy of formation: -5.45 kcal/mol of atoms
# * DOS at the Fermi energy: 10.858 states/eV/cell
# * electronic total energy: -5.225 eV per atom



# PBE ZnAgBr2, optimized geometry
data_ZnAgBr2
_space_group_name_H-M_alt 'P m m m'
_space_group_IT_number 47
_space_group_name_Hall '-P 2 2'
_cell_length_a 3.889
_cell_length_b 3.957
_cell_length_c 7.400
_cell_angle_alpha 90.00
_cell_angle_beta 90.00
_cell_angle_gamma 90.00
loop_
_atom_site_label
_atom_site_type_symbol
_atom_site_fract_x
_atom_site_fract_y
_atom_site_fract_z
_atom_site_occupancy
Zn1 Zn 0.000 0.000 0.000 1
Ag1 Ag 0.000 0.500 0.500 1
Br1 Br 0.500 0.000 0.500 1
Br2 Br 0.500 0.500 0.000 1
# * DOS at the Fermi energy: 1.260 states/eV/cell
# * electronic total energy: -2.034 eV per atom



# PBE Pr3Al4Au7, optimized geometry
data_Pr3Al4Au7
_space_group_name_H-M_alt 'C 1 2/m 1'
_space_group_IT_number 12
_space_group_name_Hall '-C 2y'
_cell_length_a 16.623
_cell_length_b 4.471
_cell_length_c 9.592
_cell_angle_alpha 90.00
_cell_angle_beta 125.03
_cell_angle_gamma 90.00
loop_
_atom_site_label
_atom_site_type_symbol
_atom_site_fract_x
_atom_site_fract_y
_atom_site_fract_z
_atom_site_occupancy
Pr1 Pr 0.000 0.000 0.000 1
Pr2 Pr 0.182 0.500 0.677 1
Al1 Al 0.127 0.000 0.847 1
Al2 Al 0.174 0.500 0.311 1
Au1 Au 0.000 0.000 0.500 1
Au2 Au 0.001 0.500 0.731 1
Au3 Au 0.141 0.000 0.403 1
Au4 Au 0.183 0.500 0.050 1
# * energy of formation: -15.55 kcal/mol of atoms
# * DOS at the Fermi energy: 17.589 states/eV/cell
# * electronic total energy: -4.406 eV per atom



# PBE Ba2H2IBr, optimized geometry
data_Ba2H2IBr
_space_group_name_H-M_alt 'P -3 m 1'
_space_group_IT_number 164
_space_group_name_Hall '-P 3 2"'
_cell_length_a 4.5203
_cell_length_b 4.5203
_cell_length_c 9.6313
_cell_angle_alpha 90.00
_cell_angle_beta 90.00
_cell_angle_gamma 120.00
loop_
_atom_site_label
_atom_site_type_symbol
_atom_site_fract_x
_atom_site_fract_y
_atom_site_fract_z
_atom_site_occupancy
Ba1 Ba 0.3333 0.6667 0.2359 1
H1 H 0.3333 0.6667 0.7636 1
I1 I 0.0000 0.0000 0.5000 1
Br1 Br 0.0000 0.0000 0.0000 1
# * DOS at the Fermi energy: 0.000 states/eV/cell
# * electronic total energy: -3.572 eV per atom